a) Below is a geometry-optimized NdHo2Bi structure, with properties calculated at the PBE level.

Structure (CIF):
```
data_NdHo2Bi
_chemical_formula_sum 'Nd1 Ho2 Bi1'
_symmetry_space_group_name_H-M 'P 4/m m m'
_symmetry_Int_Tables_number 123
_symmetry_space_group_name_Hall '-P 4 2'
_cell_length_a 4.9199
_cell_length_b 4.9199
_cell_length_c 4.8668
_cell_angle_alpha 90.00
_cell_angle_beta 90.00
_cell_angle_gamma 90.00
loop_
_atom_site_label
_atom_site_fract_x
_atom_site_fract_y
_atom_site_fract_z
Nd1 0.0000 0.0000 0.0000
Ho1 0.0000 0.5000 0.5000
Bi1 0.5000 0.5000 0.0000
```

---

b) Below is a geometry-optimized NdHo2Bi structure, with properties calculated at the PBE level.

Structure (CIF):
```
data_NdHo2Bi
_chemical_formula_sum 'Nd3 Ho6 Bi3'
_symmetry_space_group_name_H-M 'R -3 m'
_symmetry_Int_Tables_number 166
_symmetry_space_group_name_Hall '-R 3 2"'
_cell_length_a 3.5662
_cell_length_b 3.5662
_cell_length_c 36.1761
_cell_angle_alpha 90.00
_cell_angle_beta 90.00
_cell_angle_gamma 120.00
loop_
_atom_site_label
_atom_site_fract_x
_atom_site_fract_y
_atom_site_fract_z
Nd1 0.0000 0.0000 0.0000
Ho1 0.0000 0.0000 0.4131
Bi1 0.0000 0.0000 0.5000
```

---

a) (385 meV/atom below the next structure)

---

a) Below is a geometry-optimized NdHo2Bi structure, with properties calculated at the PBE level.

Structure (CIF):
```
data_NdHo2Bi
_chemical_formula_sum 'Nd3 Ho6 Bi3'
_symmetry_space_group_name_H-M 'R 3 m'
_symmetry_Int_Tables_number 160
_symmetry_space_group_name_Hall 'R 3 -2"'
_cell_length_a 4.0536
_cell_length_b 4.0536
_cell_length_c 28.8479
_cell_angle_alpha 90.00
_cell_angle_beta 90.00
_cell_angle_gamma 120.00
loop_
_atom_site_label
_atom_site_fract_x
_atom_site_fract_y
_atom_site_fract_z
Nd1 0.0000 0.0000 0.0000
Ho1 0.0000 0.0000 0.5687
Ho2 0.0000 0.0000 0.7634
Bi1 0.0000 0.0000 0.1657
```

---

b) Below is a geometry-optimized NdHo2Bi structure, with properties calculated at the PBE level.

Structure (CIF):
```
data_NdHo2Bi
_chemical_formula_sum 'Nd1 Ho2 Bi1'
_symmetry_space_group_name_H-M 'P 4/m m m'
_symmetry_Int_Tables_number 123
_symmetry_space_group_name_Hall '-P 4 2'
_cell_length_a 4.0435
_cell_length_b 4.0435
_cell_length_c 7.4760
_cell_angle_alpha 90.00
_cell_angle_beta 90.00
_cell_angle_gamma 90.00
loop_
_atom_site_label
_atom_site_fract_x
_atom_site_fract_y
_atom_site_fract_z
Nd1 0.0000 0.0000 0.0000
Ho1 0.5000 0.5000 0.2758
Bi1 0.0000 0.0000 0.5000
```

---

b) (172 meV/atom below the next structure)

---

a) Below is a geometry-optimized Nd3HoBi3 structure, with properties calculated at the PBE level.

Structure (CIF):
```
data_Nd3HoBi3
_chemical_formula_sum 'Nd12 Ho4 Bi12'
_symmetry_space_group_name_H-M 'P 21 3'
_symmetry_Int_Tables_number 198
_symmetry_space_group_name_Hall 'P 2ac 2ab 3'
_cell_length_a 9.6157
_cell_length_b 9.6157
_cell_length_c 9.6157
_cell_angle_alpha 90.00
_cell_angle_beta 90.00
_cell_angle_gamma 90.00
loop_
_atom_site_label
_atom_site_fract_x
_atom_site_fract_y
_atom_site_fract_z
Nd1 0.0671 0.4329 0.5671
Nd2 0.1759 0.8241 0.3241
Nd3 0.1783 0.1783 0.1783
Ho1 0.0737 0.5737 0.9263
Bi1 0.0023 0.2568 0.8715
```

---

b) Below is a geometry-optimized Nd3HoBi3 structure, with properties calculated at the PBE level.

Structure (CIF):
```
data_Nd3HoBi3
_chemical_formula_sum 'Nd6 Ho2 Bi6'
_symmetry_space_group_name_H-M 'P 63/m'
_symmetry_Int_Tables_number 176
_symmetry_space_group_name_Hall '-P 6c'
_cell_length_a 9.7292
_cell_length_b 9.7292
_cell_length_c 6.3970
_cell_angle_alpha 90.00
_cell_angle_beta 90.00
_cell_angle_gamma 120.00
loop_
_atom_site_label
_atom_site_fract_x
_atom_site_fract_y
_atom_site_fract_z
Nd1 0.0749 0.3920 0.2500
Ho1 0.3333 0.6667 0.7500
Bi1 0.0479 0.3357 0.7500
```

---

a) (212 meV/atom below the next structure)

---

a) Below is a geometry-optimized Ho3NiBi structure, with properties calculated at the PBE level.

Structure (CIF):
```
data_Ho3NiBi
_chemical_formula_sum 'Ho3 Ni1 Bi1'
_symmetry_space_group_name_H-M 'P m -3 m'
_symmetry_Int_Tables_number 221
_symmetry_space_group_name_Hall '-P 4 2 3'
_cell_length_a 5.1908
_cell_length_b 5.1908
_cell_length_c 5.1908
_cell_angle_alpha 90.00
_cell_angle_beta 90.00
_cell_angle_gamma 90.00
loop_
_atom_site_label
_atom_site_fract_x
_atom_site_fract_y
_atom_site_fract_z
Ho1 0.0000 0.0000 0.5000
Ni1 0.0000 0.0000 0.0000
Bi1 0.5000 0.5000 0.5000
```

---

b) Below is a geometry-optimized Ho3NiBi structure, with properties calculated at the PBE level.

Structure (CIF):
```
data_Ho3NiBi
_chemical_formula_sum 'Ho12 Ni4 Bi4'
_symmetry_space_group_name_H-M 'C 1 2/m 1'
_symmetry_Int_Tables_number 12
_symmetry_space_group_name_Hall '-C 2y'
_cell_length_a 12.1723
_cell_length_b 5.1009
_cell_length_c 9.6568
_cell_angle_alpha 90.00
_cell_angle_beta 116.83
_cell_angle_gamma 90.00
loop_
_atom_site_label
_atom_site_fract_x
_atom_site_fract_y
_atom_site_fract_z
Ho1 0.1250 0.0000 0.2520
Ho2 0.1331 0.5000 0.9392
Ho3 0.1345 0.0000 0.6775
Ni1 0.1134 0.0000 0.9653
Bi1 0.1054 0.5000 0.4313
```

---

b) (34 meV/atom below the next structure)

---

a) Below is a geometry-optimized HoBiO structure, with properties calculated at the PBE level.

Structure (CIF):
```
data_HoBiO
_chemical_formula_sum 'Ho3 Bi3 O3'
_symmetry_space_group_name_H-M 'R 3 m'
_symmetry_Int_Tables_number 160
_symmetry_space_group_name_Hall 'R 3 -2"'
_cell_length_a 3.5660
_cell_length_b 3.5660
_cell_length_c 20.1001
_cell_angle_alpha 90.00
_cell_angle_beta 90.00
_cell_angle_gamma 120.00
loop_
_atom_site_label
_atom_site_fract_x
_atom_site_fract_y
_atom_site_fract_z
Ho1 0.0000 0.0000 0.0000
Bi1 0.0000 0.0000 0.1897
O1 0.0000 0.0000 0.3640
```

---

b) Below is a geometry-optimized HoBiO structure, with properties calculated at the PBE level.

Structure (CIF):
```
data_HoBiO
_chemical_formula_sum 'Ho2 Bi2 O2'
_symmetry_space_group_name_H-M 'P -3 m 1'
_symmetry_Int_Tables_number 164
_symmetry_space_group_name_Hall '-P 3 2"'
_cell_length_a 3.6173
_cell_length_b 3.6173
_cell_length_c 12.5493
_cell_angle_alpha 90.00
_cell_angle_beta 90.00
_cell_angle_gamma 120.00
loop_
_atom_site_label
_atom_site_fract_x
_atom_site_fract_y
_atom_site_fract_z
Ho1 0.3333 0.6667 0.3770
Bi1 0.3333 0.6667 0.8503
O1 0.3333 0.6667 0.5682
```

---

c) Below is a geometry-optimized HoBiO structure, with properties calculated at the PBE level.

Structure (CIF):
```
data_HoBiO
_chemical_formula_sum 'Ho2 Bi2 O2'
_symmetry_space_group_name_H-M 'P -1'
_symmetry_Int_Tables_number 2
_symmetry_space_group_name_Hall '-P 1'
_cell_length_a 3.8339
_cell_length_b 3.8344
_cell_length_c 9.4062
_cell_angle_alpha 88.56
_cell_angle_beta 88.44
_cell_angle_gamma 89.87
loop_
_atom_site_label
_atom_site_fract_x
_atom_site_fract_y
_atom_site_fract_z
Ho1 0.2432 0.2438 0.1181
Bi1 0.2801 0.2780 0.6252
O1 0.2495 0.7505 0.0000
```

---

c) (162 meV/atom below the next structure)

---

a) Below is a geometry-optimized HoPaBi structure, with properties calculated at the PBE level.

Structure (CIF):
```
data_HoPaBi
_chemical_formula_sum 'Ho1 Pa1 Bi1'
_symmetry_space_group_name_H-M 'P 3 m 1'
_symmetry_Int_Tables_number 156
_symmetry_space_group_name_Hall 'P 3 -2"'
_cell_length_a 5.4348
_cell_length_b 5.4348
_cell_length_c 3.4039
_cell_angle_alpha 90.00
_cell_angle_beta 90.00
_cell_angle_gamma 120.00
loop_
_atom_site_label
_atom_site_fract_x
_atom_site_fract_y
_atom_site_fract_z
Ho1 0.0000 0.0000 0.0000
Pa1 0.3333 0.6667 0.5241
Bi1 0.6667 0.3333 0.2057
```

---

b) Below is a geometry-optimized HoPaBi structure, with properties calculated at the PBE level.

Structure (CIF):
```
data_HoPaBi
_chemical_formula_sum 'Ho2 Pa2 Bi2'
_symmetry_space_group_name_H-M 'I 4 m m'
_symmetry_Int_Tables_number 107
_symmetry_space_group_name_Hall 'I 4 -2'
_cell_length_a 3.9623
_cell_length_b 3.9623
_cell_length_c 11.0952
_cell_angle_alpha 90.00
_cell_angle_beta 90.00
_cell_angle_gamma 90.00
loop_
_atom_site_label
_atom_site_fract_x
_atom_site_fract_y
_atom_site_fract_z
Ho1 0.0000 0.0000 0.0000
Pa1 0.0000 0.0000 0.3097
Bi1 0.0000 0.0000 0.6493
```

---

c) Below is a geometry-optimized HoPaBi structure, with properties calculated at the PBE level.

Structure (CIF):
```
data_HoPaBi
_chemical_formula_sum 'Ho4 Pa4 Bi4'
_symmetry_space_group_name_H-M 'C 1 2/m 1'
_symmetry_Int_Tables_number 12
_symmetry_space_group_name_Hall '-C 2y'
_cell_length_a 11.6533
_cell_length_b 5.4293
_cell_length_c 6.7374
_cell_angle_alpha 90.00
_cell_angle_beta 125.21
_cell_angle_gamma 90.00
loop_
_atom_site_label
_atom_site_fract_x
_atom_site_fract_y
_atom_site_fract_z
Ho1 0.0007 0.0000 0.2491
Pa1 0.1352 0.5000 0.6363
Bi1 0.1795 0.5000 0.1806
```

---

c) (80 meV/atom below the next structure)

---

a) Below is a geometry-optimized Ho5Bi2Pb2 structure, with properties calculated at the PBE level.

Structure (CIF):
```
data_Ho5Bi2Pb2
_chemical_formula_sum 'Ho20 Bi8 Pb8'
_symmetry_space_group_name_H-M 'C m c e'
_symmetry_Int_Tables_number 64
_symmetry_space_group_name_Hall '-C 2ac 2'
_cell_length_a 15.5945
_cell_length_b 8.2646
_cell_length_c 8.2922
_cell_angle_alpha 90.00
_cell_angle_beta 90.00
_cell_angle_gamma 90.00
loop_
_atom_site_label
_atom_site_fract_x
_atom_site_fract_y
_atom_site_fract_z
Ho1 0.0000 0.0000 0.0000
Ho2 0.1332 0.1619 0.3393
Bi1 0.2031 0.0000 0.0000
Pb1 0.0000 0.1424 0.6418
```

---

b) Below is a geometry-optimized Ho5Bi2Pb2 structure, with properties calculated at the PBE level.

Structure (CIF):
```
data_Ho5Bi2Pb2
_chemical_formula_sum 'Ho20 Bi8 Pb8'
_symmetry_space_group_name_H-M 'I m a 2'
_symmetry_Int_Tables_number 46
_symmetry_space_group_name_Hall 'I 2 -2a'
_cell_length_a 17.8662
_cell_length_b 7.7227
_cell_length_c 8.3384
_cell_angle_alpha 90.00
_cell_angle_beta 90.00
_cell_angle_gamma 90.00
loop_
_atom_site_label
_atom_site_fract_x
_atom_site_fract_y
_atom_site_fract_z
Ho1 0.0669 0.2104 0.0000
Ho2 0.1544 0.6438 0.8750
Ho3 0.2500 0.1927 0.7495
Bi1 0.0968 0.5360 0.2083
Pb1 0.0000 0.0000 0.2705
Pb2 0.2500 0.5354 0.5612
```

---

a) (271 meV/atom below the next structure)

---

a) Below is a geometry-optimized PmHoBi structure, with properties calculated at the PBE level.

Structure (CIF):
```
data_PmHoBi
_chemical_formula_sum 'Pm4 Ho4 Bi4'
_symmetry_space_group_name_H-M 'I 4/m m m'
_symmetry_Int_Tables_number 139
_symmetry_space_group_name_Hall '-I 4 2'
_cell_length_a 4.5743
_cell_length_b 4.5743
_cell_length_c 17.5504
_cell_angle_alpha 90.00
_cell_angle_beta 90.00
_cell_angle_gamma 90.00
loop_
_atom_site_label
_atom_site_fract_x
_atom_site_fract_y
_atom_site_fract_z
Pm1 0.0000 0.0000 0.1769
Ho1 0.0000 0.5000 0.0000
Bi1 0.0000 0.0000 0.3643
```

---

b) Below is a geometry-optimized PmHoBi structure, with properties calculated at the PBE level.

Structure (CIF):
```
data_PmHoBi
_chemical_formula_sum 'Pm1 Ho1 Bi1'
_symmetry_space_group_name_H-M 'P 3 m 1'
_symmetry_Int_Tables_number 156
_symmetry_space_group_name_Hall 'P 3 -2"'
_cell_length_a 5.2238
_cell_length_b 5.2238
_cell_length_c 4.0716
_cell_angle_alpha 90.00
_cell_angle_beta 90.00
_cell_angle_gamma 120.00
loop_
_atom_site_label
_atom_site_fract_x
_atom_site_fract_y
_atom_site_fract_z
Pm1 0.0000 0.0000 0.0000
Ho1 0.3333 0.6667 0.4711
Bi1 0.6667 0.3333 0.6408
```

---

a) (339 meV/atom below the next structure)

---

a) Below is a geometry-optimized PmHoBi structure, with properties calculated at the PBE level.

Structure (CIF):
```
data_PmHoBi
_chemical_formula_sum 'Pm4 Ho4 Bi4'
_symmetry_space_group_name_H-M 'C 1 2/m 1'
_symmetry_Int_Tables_number 12
_symmetry_space_group_name_Hall '-C 2y'
_cell_length_a 11.8066
_cell_length_b 4.1442
_cell_length_c 8.9131
_cell_angle_alpha 90.00
_cell_angle_beta 115.28
_cell_angle_gamma 90.00
loop_
_atom_site_label
_atom_site_fract_x
_atom_site_fract_y
_atom_site_fract_z
Pm1 0.1625 0.0000 0.1314
Ho1 0.1149 0.5000 0.4377
Bi1 0.1084 0.0000 0.7434
```

---

b) Below is a geometry-optimized PmHoBi structure, with properties calculated at the PBE level.

Structure (CIF):
```
data_PmHoBi
_chemical_formula_sum 'Pm2 Ho2 Bi2'
_symmetry_space_group_name_H-M 'I 4 m m'
_symmetry_Int_Tables_number 107
_symmetry_space_group_name_Hall 'I 4 -2'
_cell_length_a 4.0982
_cell_length_b 4.0982
_cell_length_c 10.8470
_cell_angle_alpha 90.00
_cell_angle_beta 90.00
_cell_angle_gamma 90.00
loop_
_atom_site_label
_atom_site_fract_x
_atom_site_fract_y
_atom_site_fract_z
Pm1 0.0000 0.0000 0.0000
Ho1 0.0000 0.0000 0.6876
Bi1 0.0000 0.0000 0.3364
```

---

b) (107 meV/atom below the next structure)

---

a) Below is a geometry-optimized Pm3HoBi3 structure, with properties calculated at the PBE level.

Structure (CIF):
```
data_Pm3HoBi3
_chemical_formula_sum 'Pm12 Ho4 Bi12'
_symmetry_space_group_name_H-M 'P 21 3'
_symmetry_Int_Tables_number 198
_symmetry_space_group_name_Hall 'P 2ac 2ab 3'
_cell_length_a 9.5629
_cell_length_b 9.5629
_cell_length_c 9.5629
_cell_angle_alpha 90.00
_cell_angle_beta 90.00
_cell_angle_gamma 90.00
loop_
_atom_site_label
_atom_site_fract_x
_atom_site_fract_y
_atom_site_fract_z
Pm1 0.0681 0.4319 0.5681
Pm2 0.1761 0.8239 0.3239
Pm3 0.1781 0.1781 0.1781
Ho1 0.0739 0.5739 0.9261
Bi1 0.0020 0.2557 0.8723
```

---

b) Below is a geometry-optimized Pm3HoBi3 structure, with properties calculated at the PBE level.

Structure (CIF):
```
data_Pm3HoBi3
_chemical_formula_sum 'Pm18 Ho6 Bi18'
_symmetry_space_group_name_H-M 'R -3'
_symmetry_Int_Tables_number 148
_symmetry_space_group_name_Hall '-R 3'
_cell_length_a 9.2709
_cell_length_b 9.2709
_cell_length_c 19.2048
_cell_angle_alpha 90.00
_cell_angle_beta 90.00
_cell_angle_gamma 120.00
loop_
_atom_site_label
_atom_site_fract_x
_atom_site_fract_y
_atom_site_fract_z
Pm1 0.0031 0.2601 0.0844
Ho1 0.0000 0.0000 0.3328
Bi1 0.0030 0.3928 0.9186
```

---

a) (87 meV/atom below the next structure)

---

a) Below is a geometry-optimized PrHoBi2 structure, with properties calculated at the PBE level.

Structure (CIF):
```
data_PrHoBi2
_chemical_formula_sum 'Pr2 Ho2 Bi4'
_symmetry_space_group_name_H-M 'P 63/m m c'
_symmetry_Int_Tables_number 194
_symmetry_space_group_name_Hall '-P 6c 2c'
_cell_length_a 4.5372
_cell_length_b 4.5372
_cell_length_c 15.0149
_cell_angle_alpha 90.00
_cell_angle_beta 90.00
_cell_angle_gamma 120.00
loop_
_atom_site_label
_atom_site_fract_x
_atom_site_fract_y
_atom_site_fract_z
Pr1 0.3333 0.6667 0.2500
Ho1 0.0000 0.0000 0.0000
Bi1 0.3333 0.6667 0.6171
```

---

b) Below is a geometry-optimized PrHoBi2 structure, with properties calculated at the PBE level.

Structure (CIF):
```
data_PrHoBi2
_chemical_formula_sum 'Pr3 Ho3 Bi6'
_symmetry_space_group_name_H-M 'R 3 m'
_symmetry_Int_Tables_number 160
_symmetry_space_group_name_Hall 'R 3 -2"'
_cell_length_a 4.5202
_cell_length_b 4.5202
_cell_length_c 23.2120
_cell_angle_alpha 90.00
_cell_angle_beta 90.00
_cell_angle_gamma 120.00
loop_
_atom_site_label
_atom_site_fract_x
_atom_site_fract_y
_atom_site_fract_z
Pr1 0.0000 0.0000 0.0000
Ho1 0.0000 0.0000 0.1708
Bi1 0.0000 0.0000 0.4210
Bi2 0.0000 0.0000 0.5833
```

---

a) (65 meV/atom below the next structure)